An optimized crystal structure of LaGdMnCd. Source: the Alexandria database, functional PBE.

Crystal system ... cubic
Formation energy ... -0.04 eV per formula unit
E ... -7.284 eV/atom
Calculated volume ... 26.66 A^3/atom
Magnetization ... 4.1 μB per formula unit
Symmetry ... F-43m

abc: 5.323 5.323 5.323
angles: 60.00 60.00 60.00
Site moments in Bohr magnetons follow the coordinates.
Sites, in units of the cell vectors:
La1 0.000 0.000 0.000  0.17
Gd1 0.500 0.500 0.500  7.28
Mn1 0.250 0.250 0.250  -3.69
Cd1 0.750 0.750 0.750  0.02